Record 1
First-principles (PBE-GGA) data for crystalline YHoAu4 at its relaxed geometry, as listed in the Open Quantum Materials Database.

Energy, eV for the cell shown: -29.330
Space group: No. 123
Energy above the most stable polymorph in this dataset, meV per atom: 0

Unit cell a=3.7282 b=3.7282 c=9.0388 alpha=90.00 beta=90.00 gamma=90.00
Atoms (fractional coordinates):
Y (0.0000, 0.0000, 0.0000)
Ho (0.5000, 0.5000, 0.5000)
Au (0.0000, 0.0000, 0.3348)
Au (0.0000, 0.0000, 0.6652)
Au (0.5000, 0.5000, 0.1656)
Au (0.5000, 0.5000, 0.8344)

***

Record 2
First-principles (PBE-GGA) data for crystalline YHoAu4 at its relaxed geometry, as listed in the Open Quantum Materials Database.

Energy, eV for the cell shown: -28.681
Space group: No. 44
Energy above the most stable polymorph in this dataset, meV per atom: 109

Unit cell a=5.8135 b=5.8135 c=5.8135 alpha=133.09 beta=108.97 gamma=89.53
Atoms (fractional coordinates):
Y (0.0000, 0.0000, 0.0000)
Ho (0.5777, 0.0777, 0.5000)
Au (0.1541, 0.3746, 0.7795)
Au (0.4230, 0.7006, 0.7224)
Au (0.5951, 0.3746, 0.2205)
Au (0.9783, 0.7006, 0.2776)

***

Record 3
First-principles (PBE-GGA) data for crystalline YHoZn2Au4 at its relaxed geometry, as listed in the Open Quantum Materials Database.

Energy, eV for the cell shown: -31.754
Space group: No. 123

Unit cell a=4.8244 b=4.8244 c=6.8201 alpha=90.00 beta=90.00 gamma=90.00
Atoms (fractional coordinates):
Y (0.0000, 0.0000, 0.0000)
Ho (0.5000, 0.5000, 0.5000)
Zn (0.0000, 0.0000, 0.5000)
Zn (0.5000, 0.5000, 0.0000)
Au (0.0000, 0.5000, 0.2513)
Au (0.0000, 0.5000, 0.7487)
Au (0.5000, 0.0000, 0.2513)
Au (0.5000, 0.0000, 0.7487)

***

Record 4
First-principles (PBE-GGA) data for crystalline HoZn2Au2 at its relaxed geometry, as listed in the Open Quantum Materials Database.

Energy, eV for the cell shown: -16.379
Space group: No. 139

Unit cell a=7.0260 b=7.0260 c=7.0260 alpha=147.82 beta=147.82 gamma=46.15
Atoms (fractional coordinates):
Ho (0.0000, 0.0000, 0.0000)
Zn (0.2500, 0.7500, 0.5000)
Zn (0.7500, 0.2500, 0.5000)
Au (0.3927, 0.3927, 0.0000)
Au (0.6073, 0.6073, 0.0000)